The following is a PBE calculation of crystalline Na2TlAg3Cl6 at its relaxed geometry, from the Alexandria database.

Results
The volume comes out at 26.25 Å³/atom. The uncorrected formation energy is -11.6 eV/f.u. For the density of states at the Fermi level, the calculation gives 0.000 states/eV/cell. The calculation puts the density at 4.15 g cm⁻³.

a b c (Å): 16.602 4.209 9.205
angles (deg): 90.00 101.70 90.00
Space group C2/m (No. 12)
One atom of each set of equivalent atoms:
1 Na 0.171 0.000 0.337 x4
2 Tl 0.000 0.500 0.000 x2
3 Ag 0.000 0.500 0.500 x2
4 Ag 0.162 0.000 0.785 x4
5 Cl 0.011 0.000 0.743 x4
6 Cl 0.156 0.500 0.541 x4
7 Cl 0.188 0.500 0.141 x4